Compound: NpGePbO5
Source: the Alexandria database
Functional: PBE-GGA
Structure: optimized geometry

Structure (extended XYZ):
```
16
Lattice="3.608 -4.909 0.000 3.608 4.909 0.000 -3.058 0.000 7.277" Properties=species:S:1:pos:R:3 pbc="T T T"
Np 0.000 0.000 0.000
Np -1.529 0.000 3.639
Ge 1.314 1.766 5.458
Ge 2.844 -1.766 1.819
Pb 2.844 1.690 1.819
Pb 1.314 -1.690 5.458
O 2.844 4.098 1.819
O 0.162 2.806 6.367
O 0.512 0.683 4.293
O 2.467 2.806 4.549
O 2.041 -0.683 0.654
O 2.117 0.683 6.623
O 1.691 -2.806 2.728
O 3.646 -0.683 2.984
O 3.996 -2.806 0.910
O 1.314 -4.098 5.458
```

Values from the calculation:
The value obtained for the uncorrected formation energy is -2.04 eV/atom. For the total DFT energy (no corrections), the calculation gives -7.80 eV/atom. The value obtained for the magnetic moment is 6.0 μB per cell.